Entry 1:
Here is Al2Fe2Si after structural relaxation from the Open Quantum Materials Database. Energies are from PBE.

a b c (Å): 3.458 3.458 11.172
angles (deg): 90.00 90.00 90.00
Fractional positions:
Al  0.000  0.500  0.250
Al  0.000  0.500  0.750
Al  0.500  0.000  0.250
Al  0.500  0.000  0.750
Fe  0.000  0.000  0.096
Fe  0.000  0.000  0.904
Fe  0.500  0.500  0.404
Fe  0.500  0.500  0.596
Si  0.000  0.000  0.500
Si  0.500  0.500  0.000

Electronic total energy (eV/atom): -5.69
Size of the total moment (μB per formula unit): 2.2



Entry 2:
Here is SmTlCdSe3 after structural relaxation from the Open Quantum Materials Database. Energies are from PBE.

a b c (Å): 14.714 4.304 11.490
angles (deg): 90.00 90.00 90.00
Fractional positions:
Sm  0.029  0.250  0.153
Sm  0.471  0.750  0.653
Sm  0.529  0.250  0.347
Sm  0.971  0.750  0.847
Tl  0.245  0.250  0.455
Tl  0.255  0.750  0.955
Tl  0.745  0.250  0.045
Tl  0.755  0.750  0.545
Cd  0.022  0.750  0.399
Cd  0.478  0.250  0.899
Cd  0.522  0.750  0.101
Cd  0.978  0.250  0.601
Se  0.089  0.750  0.623
Se  0.096  0.250  0.919
Se  0.150  0.750  0.237
Se  0.350  0.250  0.737
Se  0.404  0.750  0.419
Se  0.411  0.250  0.123
Se  0.589  0.750  0.877
Se  0.596  0.250  0.581
Se  0.650  0.750  0.263
Se  0.850  0.250  0.763
Se  0.904  0.750  0.081
Se  0.911  0.250  0.377

Energy above the lowest structure with this stoichiometry (meV/atom): 3
Size of the total moment (μB per formula unit): 0.0



Entry 3:
Here is Li4PrBiO6 after structural relaxation from the Open Quantum Materials Database. Energies are from PBE.

a b c (Å): 5.714 5.714 5.294
angles (deg): 98.67 98.67 121.56
Fractional positions:
Li  0.000  0.000  0.000
Li  0.406  0.594  0.000
Li  0.702  0.298  0.000
Li  0.872  0.128  0.500
Pr  0.206  0.794  0.500
Bi  0.537  0.463  0.500
O  0.151  0.378  0.251
O  0.287  0.230  0.742
O  0.483  0.097  0.252
O  0.622  0.849  0.749
O  0.770  0.713  0.258
O  0.903  0.517  0.748

Electronic total energy (eV/atom): -5.73
Size of the total moment (μB per formula unit): 0.0



Entry 4:
Here is UCdSb2 after structural relaxation from the Open Quantum Materials Database. Energies are from PBE.

a b c (Å): 4.931 4.931 4.021
angles (deg): 90.00 90.00 90.00
Fractional positions:
U  0.000  0.000  0.000
Cd  0.500  0.500  0.000
Sb  0.000  0.500  0.500
Sb  0.500  0.000  0.500

Electronic total energy (eV/atom): -5.31
Size of the total moment (μB per formula unit): 1.9



Entry 5:
Here is RbNpSi after structural relaxation from the Open Quantum Materials Database. Energies are from PBE.

a b c (Å): 7.423 7.423 7.423
angles (deg): 90.00 90.00 90.00
Fractional positions:
Rb  0.000  0.000  0.000
Rb  0.000  0.500  0.500
Rb  0.500  0.000  0.500
Rb  0.500  0.500  0.000
Np  0.000  0.000  0.500
Np  0.000  0.500  0.000
Np  0.500  0.000  0.000
Np  0.500  0.500  0.500
Si  0.250  0.250  0.750
Si  0.250  0.750  0.250
Si  0.750  0.250  0.250
Si  0.750  0.750  0.750

Electronic total energy (eV/atom): -5.49
Size of the total moment (μB per formula unit): 4.0



Entry 6:
Here is CdAg15 after structural relaxation from the Open Quantum Materials Database. Energies are from PBE.

a b c (Å): 5.848 2.926 46.507
angles (deg): 90.00 90.02 90.00
Fractional positions:
Cd  0.125  0.250  0.339
Cd  0.875  0.750  0.661
Ag  0.124  0.250  0.799
Ag  0.125  0.250  0.067
Ag  0.125  0.250  0.157
Ag  0.125  0.250  0.246
Ag  0.125  0.250  0.709
Ag  0.125  0.250  0.888
Ag  0.125  0.250  0.978
Ag  0.374  0.750  0.201
Ag  0.375  0.750  0.022
Ag  0.375  0.750  0.112
Ag  0.375  0.750  0.291
Ag  0.375  0.750  0.664
Ag  0.375  0.750  0.754
Ag  0.375  0.750  0.843
Ag  0.375  0.750  0.933
Ag  0.625  0.250  0.067
Ag  0.625  0.250  0.157
Ag  0.625  0.250  0.246
Ag  0.625  0.250  0.336
Ag  0.625  0.250  0.709
Ag  0.625  0.250  0.888
Ag  0.625  0.250  0.978
Ag  0.626  0.250  0.799
Ag  0.875  0.750  0.022
Ag  0.875  0.750  0.112
Ag  0.875  0.750  0.291
Ag  0.875  0.750  0.754
Ag  0.875  0.750  0.843
Ag  0.875  0.750  0.933
Ag  0.876  0.750  0.201

Energy above the lowest structure with this stoichiometry (meV/atom): 3
ΔE_f (kJ/mol of formula units): 51.5



Entry 7:
Here is MgScNiGe after structural relaxation from the Open Quantum Materials Database. Energies are from PBE.

a b c (Å): 6.358 6.358 6.358
angles (deg): 90.00 90.00 90.00
Fractional positions:
Mg  0.000  0.000  0.000
Mg  0.000  0.500  0.500
Mg  0.500  0.000  0.500
Mg  0.500  0.500  0.000
Sc  0.250  0.250  0.750
Sc  0.250  0.750  0.250
Sc  0.750  0.250  0.250
Sc  0.750  0.750  0.750
Ni  0.000  0.000  0.500
Ni  0.000  0.500  0.000
Ni  0.500  0.000  0.000
Ni  0.500  0.500  0.500
Ge  0.250  0.250  0.250
Ge  0.250  0.750  0.750
Ge  0.750  0.250  0.750
Ge  0.750  0.750  0.250

Energy above the lowest structure with this stoichiometry (meV/atom): 164
Size of the total moment (μB per formula unit): 0.0



Entry 8:
Here is TaNiAgSb after structural relaxation from the Open Quantum Materials Database. Energies are from PBE.

a b c (Å): 6.523 6.523 6.523
angles (deg): 90.00 90.00 90.00
Fractional positions:
Ta  0.000  0.000  0.000
Ta  0.000  0.500  0.500
Ta  0.500  0.000  0.500
Ta  0.500  0.500  0.000
Ni  0.000  0.000  0.500
Ni  0.000  0.500  0.000
Ni  0.500  0.000  0.000
Ni  0.500  0.500  0.500
Ag  0.250  0.250  0.750
Ag  0.250  0.750  0.250
Ag  0.750  0.250  0.250
Ag  0.750  0.750  0.750
Sb  0.250  0.250  0.250
Sb  0.250  0.750  0.750
Sb  0.750  0.250  0.750
Sb  0.750  0.750  0.250

Electronic total energy (eV/atom): -5.77
Size of the total moment (μB per formula unit): 0.0



Entry 9:
Here is Ba2MgTcN6 after structural relaxation from the Open Quantum Materials Database. Energies are from PBE.

a b c (Å): 5.829 5.829 5.829
angles (deg): 120.08 120.08 89.86
Fractional positions:
Ba  0.250  0.750  0.500
Ba  0.750  0.250  0.500
Mg  0.000  0.000  0.000
Tc  0.500  0.500  0.000
N  0.260  0.260  0.521
N  0.260  0.740  0.000
N  0.261  0.261  0.000
N  0.739  0.739  0.000
N  0.740  0.260  0.000
N  0.740  0.740  0.479

Electronic total energy (eV/atom): -6.30
Size of the total moment (μB per formula unit): 0.0



Entry 10:
Here is Tm2Be6B after structural relaxation from the Open Quantum Materials Database. Energies are from PBE.

a b c (Å): 5.175 5.175 8.148
angles (deg): 121.57 121.57 39.02
Fractional positions:
Tm  0.175  0.175  0.262
Tm  0.825  0.825  0.738
Be  0.124  0.124  0.779
Be  0.345  0.345  0.051
Be  0.496  0.496  0.626
Be  0.504  0.504  0.374
Be  0.655  0.655  0.949
Be  0.876  0.876  0.221
B  0.000  0.000  0.500

Electronic total energy (eV/atom): -4.30
Size of the total moment (μB per formula unit): 0.0



Entry 11:
Here is SrCdAgGe2 after structural relaxation from the Open Quantum Materials Database. Energies are from PBE.

a b c (Å): 4.508 4.508 11.245
angles (deg): 90.00 90.00 90.00
Fractional positions:
Sr  0.000  0.000  0.000
Sr  0.500  0.500  0.500
Cd  0.000  0.500  0.750
Cd  0.500  0.000  0.250
Ag  0.000  0.500  0.250
Ag  0.500  0.000  0.750
Ge  0.000  0.000  0.389
Ge  0.000  0.000  0.611
Ge  0.500  0.500  0.111
Ge  0.500  0.500  0.889

Electronic total energy (eV/atom): -3.28



Entry 12:
Here is SrCoWAu after structural relaxation from the Open Quantum Materials Database. Energies are from PBE.

a b c (Å): 6.596 6.596 6.596
angles (deg): 90.00 90.00 90.00
Fractional positions:
Sr  0.000  0.000  0.000
Sr  0.000  0.500  0.500
Sr  0.500  0.000  0.500
Sr  0.500  0.500  0.000
Co  0.250  0.250  0.750
Co  0.250  0.750  0.250
Co  0.750  0.250  0.250
Co  0.750  0.750  0.750
W  0.250  0.250  0.250
W  0.250  0.750  0.750
W  0.750  0.250  0.750
W  0.750  0.750  0.250
Au  0.000  0.000  0.500
Au  0.000  0.500  0.000
Au  0.500  0.000  0.000
Au  0.500  0.500  0.500

Energy above the lowest structure with this stoichiometry (meV/atom): 261
Size of the total moment (μB per formula unit): 0.0